(1)
The following is a DFT calculation (PBE) of a relaxed structure of Pm3AlAs2Rh9.

Unit cell a=6.2525 b=6.2525 c=8.9754 alpha=90.00 beta=90.00 gamma=120.00
Last column: nearest neighbours and their distance in Å.
Fractional coordinates of all 15 atoms:
Pm (0.0000, 0.0000, 0.0000)  12 Rh 2.97-3.13
Pm (0.3333, 0.6667, 0.6985)  9 Rh 3.14-3.25
Pm (0.6667, 0.3333, 0.3015)  9 Rh 3.14-3.25
Al (0.0000, 0.0000, 0.5000)  6 Rh 2.49
As (0.3333, 0.6667, 0.1739)  6 Rh 2.29-2.39
As (0.6667, 0.3333, 0.8261)  6 Rh 2.29-2.39
Rh (0.0000, 0.5000, 0.0000)  2 As 2.39
Rh (0.1422, 0.2844, 0.2824)  1 As 2.29, 1 Al 2.49
Rh (0.1422, 0.8578, 0.2824)  1 As 2.29, 1 Al 2.49
Rh (0.2844, 0.1422, 0.7176)  1 As 2.29, 1 Al 2.49
Rh (0.5000, 0.0000, 0.0000)  2 As 2.39
Rh (0.5000, 0.5000, 0.0000)  2 As 2.39
Rh (0.7156, 0.8578, 0.2824)  1 As 2.29, 1 Al 2.49
Rh (0.8578, 0.1422, 0.7176)  1 As 2.29, 1 Al 2.49
Rh (0.8578, 0.7156, 0.7176)  1 As 2.29, 1 Al 2.49

## Properties
Symmetry = P-3m1, No. 164
Total moment = 0.0 Bohr magnetons per cell
Total DFT energy (no corrections) = -6.6698 eV per atom
E_form = -0.44 eV/atom

(2)
The following is a DFT calculation (PBE) of a relaxed structure of ZrSc3Pt.

Unit cell a=4.9334 b=4.9334 c=4.9334 alpha=90.00 beta=90.00 gamma=90.00
Last column: nearest neighbours and their distance in Å.
Fractional coordinates of all 5 atoms:
Zr (0.0000, 0.0000, 0.0000)  6 Sc 2.47
Sc (0.0000, 0.0000, 0.5000)  2 Zr 2.47
Sc (0.0000, 0.5000, 0.0000)  2 Zr 2.47
Sc (0.5000, 0.0000, 0.0000)  2 Zr 2.47
Pt (0.5000, 0.5000, 0.5000)  12 Sc 3.49

## Properties
Excess energy over the best structure of this formula in the dataset = 83.2 kJ per mole of atoms
Symmetry = Pm-3m, No. 221
Total moment = 0.0 Bohr magnetons per cell
Total DFT energy (no corrections) = -5.9513 eV per atom
E_form = 0.77 eV/atom

- Which value of E_form does entry 2 give?
  0.77 eV/atom